GGA-PBE LaSb2Ru, optimized geometry; M_tot = 0.00 μB/f.u.; formation energy (no corrections) = -0.1999 eV per atom; energy = -5.8119 eV/atom
1.0
-0.854 1.642 -4.167
-5.340 -3.237 4.818
-3.693 2.102 1.582
Sb La Ru
2 1 1
Direct
0.000 0.000 0.000
0.000 0.500 0.500
0.500 0.500 0.000
0.500 0.000 0.500